Record 1
A plane-wave DFT calculation with PBE was carried out for a relaxed structure of Cs4Cd3F10.

Cell and atoms, written as CIF:
```
data_Cs4Cd3F10
_symmetry_space_group_name_H-M 'I 4/m m m'
_symmetry_Int_Tables_number 139
_symmetry_space_group_name_Hall '-I 4 2'
_cell_length_a 4.566
_cell_length_b 4.566
_cell_length_c 33.077
_cell_angle_alpha 90.00
_cell_angle_beta 90.00
_cell_angle_gamma 90.00
loop_
_atom_site_label
_atom_site_type_symbol
_atom_site_fract_x
_atom_site_fract_y
_atom_site_fract_z
_atom_site_occupancy
Cs1 Cs 0.000 0.000 0.069 1
Cs2 Cs 0.000 0.000 0.203 1
Cd1 Cd 0.000 0.000 0.362 1
Cd2 Cd 0.000 0.000 0.500 1
F1 F 0.000 0.000 0.294 1
F2 F 0.000 0.000 0.431 1
F3 F 0.000 0.500 0.000 1
F4 F 0.000 0.500 0.137 1
```

Density of states at the Fermi level, states/eV/atom: 0.000
Crystal system: tetragonal
Calculated volume, Å³/atom: 20.28
Density, Mg/m³: 5.1
Raw formation energy, meV per atom: -2495

=====

Record 2
A plane-wave DFT calculation with PBE was carried out for a relaxed structure of Ac2USbN5.

Cell and atoms, written as CIF:
```
data_Ac2USbN5
_symmetry_space_group_name_H-M 'C m c 21'
_symmetry_Int_Tables_number 36
_cell_length_a 3.678
_cell_length_b 15.320
_cell_length_c 11.139
_cell_angle_alpha 90.00
_cell_angle_beta 90.00
_cell_angle_gamma 90.00
loop_
_symmetry_equiv_pos_as_xyz
'x,y,z'
'-x,-y,z+1/2'
'-x,y,z'
'x,-y,z+1/2'
'x+1/2,y+1/2,z'
'-x+1/2,-y+1/2,z+1/2'
'-x+1/2,y+1/2,z'
'x+1/2,-y+1/2,z+1/2'
loop_
_atom_site_label
_atom_site_type_symbol
_atom_site_fract_x
_atom_site_fract_y
_atom_site_fract_z
_atom_site_occupancy
Ac1 Ac 0.000 0.100 0.000 1
Ac2 Ac 0.000 0.135 0.622 1
U1 U 0.000 0.215 0.341 1
Sb1 Sb 0.000 0.457 0.781 1
N1 N 0.000 0.084 0.391 1
N2 N 0.000 0.268 0.966 1
N3 N 0.000 0.321 0.719 1
N4 N 0.000 0.342 0.299 1
N5 N 0.000 0.498 0.597 1
```

Crystal system: orthorhombic
Calculated volume, Å³/atom: 17.44
Density, Mg/m³: 9.4
Raw formation energy, meV per atom: -811

=====

Record 3
A plane-wave DFT calculation with PBE was carried out for a relaxed structure of Pr2Tm3Ga4.

Cell and atoms, written as CIF:
```
data_Pr2Tm3Ga4
_symmetry_space_group_name_H-M 'C m c e'
_symmetry_Int_Tables_number 64
_symmetry_space_group_name_Hall '-C 2ac 2'
_cell_length_a 6.821
_cell_length_b 16.094
_cell_length_c 8.464
_cell_angle_alpha 90.00
_cell_angle_beta 90.00
_cell_angle_gamma 90.00
loop_
_atom_site_label
_atom_site_type_symbol
_atom_site_fract_x
_atom_site_fract_y
_atom_site_fract_z
_atom_site_occupancy
Pr1 Pr 0.000 0.106 0.081 1
Tm1 Tm 0.000 0.000 0.500 1
Tm2 Tm 0.250 0.218 0.750 1
Ga1 Ga 0.000 0.183 0.458 1
Ga2 Ga 0.250 0.039 0.750 1
```

Density of states at the Fermi level, states/eV/atom: 0.807
Crystal system: orthorhombic
Calculated volume, Å³/atom: 25.81
Density, Mg/m³: 7.6
Polymorph energy (0 for the lowest one), eV per formula unit: 1.34
ΔE_f, eV/atom: -0.433

=====

Record 4
A plane-wave DFT calculation with PBE was carried out for a relaxed structure of Tc2SbAu.

Cell and atoms, written as CIF:
```
data_Tc2SbAu
_symmetry_space_group_name_H-M 'C 1 m 1'
_symmetry_Int_Tables_number 8
_cell_length_a 9.449
_cell_length_b 3.061
_cell_length_c 4.789
_cell_angle_alpha 90.00
_cell_angle_beta 99.55
_cell_angle_gamma 90.00
loop_
_symmetry_equiv_pos_as_xyz
'x,y,z'
'x,-y,z'
'x+1/2,y+1/2,z'
'x+1/2,-y+1/2,z'
loop_
_atom_site_label
_atom_site_type_symbol
_atom_site_fract_x
_atom_site_fract_y
_atom_site_fract_z
_atom_site_occupancy
Tc1 Tc 0.000 0.000 0.000 1
Tc2 Tc 0.230 0.500 0.220 1
Sb1 Sb 0.248 0.000 0.748 1
Au1 Au 0.481 0.000 0.469 1
```

Density of states at the Fermi level, states/eV/atom: 0.997
Crystal system: monoclinic
Calculated volume, Å³/atom: 17.08
Density, Mg/m³: 12.5
Raw formation energy, meV per atom: 339

=====

Record 5
A plane-wave DFT calculation with PBE was carried out for a relaxed structure of ScGe4Mo2.

Cell and atoms, written as CIF:
```
data_ScGe4Mo2
_symmetry_space_group_name_H-M 'I 4/m m m'
_symmetry_Int_Tables_number 139
_symmetry_space_group_name_Hall '-I 4 2'
_cell_length_a 4.915
_cell_length_b 4.915
_cell_length_c 12.976
_cell_angle_alpha 90.00
_cell_angle_beta 90.00
_cell_angle_gamma 90.00
loop_
_atom_site_label
_atom_site_type_symbol
_atom_site_fract_x
_atom_site_fract_y
_atom_site_fract_z
_atom_site_occupancy
Sc1 Sc 0.000 0.000 0.000 1
Ge1 Ge 0.000 0.000 0.207 1
Ge2 Ge 0.000 0.500 0.000 1
Mo1 Mo 0.000 0.000 0.409 1
```

Density of states at the Fermi level, states/eV/atom: 1.159
Crystal system: tetragonal
Calculated volume, Å³/atom: 22.39
Density, Mg/m³: 5.6
ΔE_f, eV/atom: 0.669

=====

Record 6
A plane-wave DFT calculation with PBE was carried out for a relaxed structure of FeTcNi2.

Cell and atoms, written as CIF:
```
data_FeTcNi2
_symmetry_space_group_name_H-M 'C 1 m 1'
_symmetry_Int_Tables_number 8
_cell_length_a 8.462
_cell_length_b 2.534
_cell_length_c 4.524
_cell_angle_alpha 90.00
_cell_angle_beta 98.61
_cell_angle_gamma 90.00
loop_
_symmetry_equiv_pos_as_xyz
'x,y,z'
'x,-y,z'
'x+1/2,y+1/2,z'
'x+1/2,-y+1/2,z'
loop_
_atom_site_label
_atom_site_type_symbol
_atom_site_fract_x
_atom_site_fract_y
_atom_site_fract_z
_atom_site_occupancy
Fe1 Fe 0.000 0.000 0.000 1
Tc1 Tc 0.256 0.500 0.266 1
Ni1 Ni 0.005 0.500 0.513 1
Ni2 Ni 0.255 0.000 0.762 1
```

Density of states at the Fermi level, states/eV/atom: 0.984
Crystal system: monoclinic
Calculated volume, Å³/atom: 11.99
Density, Mg/m³: 9.4
Polymorph energy (0 for the lowest one), eV per formula unit: 0.15
ΔE_f, eV/atom: 0.035

=====

Record 7
A plane-wave DFT calculation with PBE was carried out for a relaxed structure of ErThAs2.

Cell and atoms, written as CIF:
```
data_ErThAs2
_symmetry_space_group_name_H-M 'R -3 m'
_symmetry_Int_Tables_number 166
_symmetry_space_group_name_Hall '-R 3 2"'
_cell_length_a 4.1826
_cell_length_b 4.1826
_cell_length_c 20.2821
_cell_angle_alpha 90.00
_cell_angle_beta 90.00
_cell_angle_gamma 120.00
loop_
_atom_site_label
_atom_site_type_symbol
_atom_site_fract_x
_atom_site_fract_y
_atom_site_fract_z
_atom_site_occupancy
Er1 Er 0.0000 0.0000 0.0000 1
Th1 Th 0.0000 0.0000 0.5000 1
As1 As 0.0000 0.0000 0.2536 1
```

Density of states at the Fermi level, states/eV/atom: 0.466
Crystal system: trigonal
Calculated volume, Å³/atom: 25.61
Density, Mg/m³: 8.9
Polymorph energy (0 for the lowest one), eV per formula unit: 0.00
ΔE_f, eV/atom: -1.454

=====

Record 8
A plane-wave DFT calculation with PBE was carried out for a relaxed structure of MnSiSb2.

Cell and atoms, written as CIF:
```
data_MnSiSb2
_symmetry_space_group_name_H-M 'I m m 2'
_symmetry_Int_Tables_number 44
_cell_length_a 3.658
_cell_length_b 3.739
_cell_length_c 12.895
_cell_angle_alpha 90.00
_cell_angle_beta 90.00
_cell_angle_gamma 90.00
loop_
_symmetry_equiv_pos_as_xyz
'x,y,z'
'-x,-y,z'
'-x,y,z'
'x,-y,z'
'x+1/2,y+1/2,z+1/2'
'-x+1/2,-y+1/2,z+1/2'
'-x+1/2,y+1/2,z+1/2'
'x+1/2,-y+1/2,z+1/2'
loop_
_atom_site_label
_atom_site_type_symbol
_atom_site_fract_x
_atom_site_fract_y
_atom_site_fract_z
_atom_site_occupancy
Mn1 Mn 0.000 0.000 0.000 1
Si1 Si 0.000 0.500 0.375 1
Sb1 Sb 0.000 0.000 0.583 1
Sb2 Sb 0.000 0.500 0.803 1
```

Density of states at the Fermi level, states/eV/atom: 0.570
Crystal system: orthorhombic
Calculated volume, Å³/atom: 22.05
Density, Mg/m³: 6.1
Raw formation energy, meV per atom: 271

=====

Record 9
A plane-wave DFT calculation with PBE was carried out for a relaxed structure of ZrTc3O.

Cell and atoms, written as CIF:
```
data_ZrTc3O
_symmetry_space_group_name_H-M 'P m -3 m'
_symmetry_Int_Tables_number 221
_symmetry_space_group_name_Hall '-P 4 2 3'
_cell_length_a 4.156
_cell_length_b 4.156
_cell_length_c 4.156
_cell_angle_alpha 90.00
_cell_angle_beta 90.00
_cell_angle_gamma 90.00
loop_
_atom_site_label
_atom_site_type_symbol
_atom_site_fract_x
_atom_site_fract_y
_atom_site_fract_z
_atom_site_occupancy
Zr1 Zr 0.000 0.000 0.000 1
Tc1 Tc 0.000 0.500 0.500 1
O1 O 0.500 0.500 0.500 1
```

Density of states at the Fermi level, states/eV/atom: 1.306
Crystal system: cubic
Calculated volume, Å³/atom: 14.36
Density, Mg/m³: 9.3
Raw formation energy, meV per atom: -235
Polymorph energy (0 for the lowest one), eV per formula unit: 0.00

=====

Record 10
A plane-wave DFT calculation with PBE was carried out for a relaxed structure of InAsP2.

Cell and atoms, written as CIF:
```
data_InAsP2
_symmetry_space_group_name_H-M 'P m m m'
_symmetry_Int_Tables_number 47
_cell_length_a 3.338
_cell_length_b 3.967
_cell_length_c 6.425
_cell_angle_alpha 90.00
_cell_angle_beta 90.00
_cell_angle_gamma 90.00
loop_
_symmetry_equiv_pos_as_xyz
'x,y,z'
'-x,-y,-z'
'-x,-y,z'
'x,y,-z'
'x,-y,-z'
'-x,y,z'
'-x,y,-z'
'x,-y,z'
loop_
_atom_site_label
_atom_site_type_symbol
_atom_site_fract_x
_atom_site_fract_y
_atom_site_fract_z
_atom_site_occupancy
In1 In 0.000 0.000 0.000 1
As1 As 0.000 0.000 0.500 1
P1 P 0.500 0.500 0.333 1
```

Density of states at the Fermi level, states/eV/atom: 0.340
Crystal system: orthorhombic
Calculated volume, Å³/atom: 21.27
Density, Mg/m³: 4.9
Polymorph energy (0 for the lowest one), eV per formula unit: 1.25
ΔE_f, eV/atom: 0.377

=====

Record 11
A plane-wave DFT calculation with PBE was carried out for a relaxed structure of Rb2Tl3InSn4.

Cell and atoms, written as CIF:
```
data_Rb2Tl3InSn4
_symmetry_space_group_name_H-M 'P -4 m 2'
_symmetry_Int_Tables_number 115
_cell_length_a 5.299
_cell_length_b 5.299
_cell_length_c 12.336
_cell_angle_alpha 90.00
_cell_angle_beta 90.00
_cell_angle_gamma 90.00
loop_
_symmetry_equiv_pos_as_xyz
'x,y,z'
'y,-x,-z'
'-x,-y,z'
'-y,x,-z'
'-x,y,z'
'-y,-x,-z'
'x,-y,z'
'y,x,-z'
loop_
_atom_site_label
_atom_site_type_symbol
_atom_site_fract_x
_atom_site_fract_y
_atom_site_fract_z
_atom_site_occupancy
Rb1 Rb 0.000 0.500 0.250 1
Tl1 Tl 0.000 0.000 0.000 1
Tl2 Tl 0.000 0.500 0.632 1
In1 In 0.500 0.500 0.000 1
Sn1 Sn 0.000 0.000 0.500 1
Sn2 Sn 0.000 0.500 0.874 1
Sn3 Sn 0.500 0.500 0.500 1
```

Density of states at the Fermi level, states/eV/atom: 0.468
Crystal system: tetragonal
Calculated volume, Å³/atom: 34.64
Density, Mg/m³: 6.6
ΔE_f, eV/atom: -0.083